RbCr2HgW (PBE, relaxed); VASP energy = -24.6 eV per cell; energy of formation = 1.778 eV/atom
1.0
5.3551 0.0000 0.0000
0.0000 5.3551 0.0000
0.0000 0.0000 5.3613
Rb Cr Hg W
1 2 1 1
Direct
0.0000 0.0000 0.0000
0.0000 0.5000 0.5000
0.5000 0.0000 0.5000
0.5000 0.5000 0.5000
0.5000 0.5000 0.0000